# 1
First-principles (PBE) data for crystalline TlSI3 at its relaxed geometry, as listed in Alexandria.

Cell: 6.072 6.072 6.072 Å, 90.00 90.00 90.00°
Site moments in Bohr magnetons follow the coordinates.
Sites, in units of the cell vectors:
Tl 0.000 0.000 0.000  -0.01
I 0.500 0.000 0.000  0.10
I 0.000 0.500 0.000  0.07
I 0.000 0.000 0.500  0.12
S 0.500 0.500 0.500  1.23

offset from the most stable computed form	580.3	meV per atom
SG	No. 221

# 2
First-principles (PBE) data for crystalline TlSI2 at its relaxed geometry, as listed in Alexandria.

Cell: 6.546 6.546 9.803 Å, 70.50 70.50 90.00°
Sites, in units of the cell vectors:
Tl 0.000 0.000 0.000
Tl 0.750 0.250 0.500
I 0.233 0.625 0.250
I 0.375 0.483 0.750
I 0.517 0.125 0.250
I 0.875 0.767 0.750
S 0.250 0.750 0.500
S 0.500 0.500 0.000

offset from the most stable computed form	0.0	meV per atom
SG	No. 122

# 3
First-principles (PBE) data for crystalline TlS4I at its relaxed geometry, as listed in Alexandria.

Cell: 5.451 7.866 9.480 Å, 55.13 142.83 115.08°
Sites, in units of the cell vectors:
I 0.625 0.514 0.835
S 0.863 0.520 0.196
S 0.465 0.533 0.447
S 0.567 0.862 0.288
S 0.133 0.036 0.107
Tl 0.855 0.052 0.638

SG	No. 1

# 4
First-principles (PBE) data for crystalline Tl4SI2 at its relaxed geometry, as listed in Alexandria.

Cell: 5.997 5.997 9.905 Å, 72.38 72.38 90.00°
Sites, in units of the cell vectors:
I 0.372 0.372 0.256
I 0.628 0.628 0.744
Tl 0.158 0.158 0.684
Tl 0.000 0.500 0.000
Tl 0.842 0.842 0.316
Tl 0.500 0.000 0.000
S 0.000 0.000 0.000

offset from the most stable computed form	93.2	meV per atom
SG	No. 139

# 5
First-principles (PBE) data for crystalline Tl2SI at its relaxed geometry, as listed in Alexandria.

Cell: 4.441 4.441 8.139 Å, 74.17 74.17 60.00°
Sites, in units of the cell vectors:
S 0.000 0.000 0.000
Tl 0.733 0.733 0.800
Tl 0.267 0.267 0.200
I 0.500 0.500 0.500

offset from the most stable computed form	58.5	meV per atom
SG	No. 166

# 6
First-principles (PBE) data for crystalline UTl2S2I2 at its relaxed geometry, as listed in Alexandria.

Cell: 5.278 5.278 9.849 Å, 105.54 105.54 90.00°
Site moments in Bohr magnetons follow the coordinates.
Sites, in units of the cell vectors:
I 0.831 0.831 0.661  -0.02
I 0.169 0.169 0.339  -0.02
Tl 0.381 0.381 0.762  0.00
Tl 0.619 0.619 0.238  0.00
U 0.000 0.000 0.000  2.07
S 0.000 0.500 0.000  -0.07
S 0.500 0.000 0.000  -0.07

SG	No. 139

# 7
First-principles (PBE) data for crystalline TmS2I at its relaxed geometry, as listed in Alexandria.

Cell: 4.123 4.123 15.937 Å, 90.00 90.00 120.00°
Sites, in units of the cell vectors:
S 0.333 0.667 0.416
S 0.667 0.333 0.584
S 0.667 0.333 0.916
S 0.333 0.667 0.084
I 0.333 0.667 0.250
I 0.667 0.333 0.750
Tm 0.000 0.000 0.000
Tm 0.000 0.000 0.500

SG	No. 194

# 8
First-principles (PBE) data for crystalline TmSI at its relaxed geometry, as listed in Alexandria.

Cell: 3.580 3.580 7.432 Å, 103.94 103.94 90.00°
Sites, in units of the cell vectors:
I 0.034 0.034 0.068
S 0.274 0.274 0.547
Tm 0.692 0.692 0.384

SG	No. 107

# 9
First-principles (PBE) data for crystalline TmSI at its relaxed geometry, as listed in Alexandria.

Cell: 4.477 4.477 5.111 Å, 90.00 90.00 120.00°
Sites, in units of the cell vectors:
I 0.667 0.333 0.500
S 0.000 0.000 0.000
Tm 0.333 0.667 0.000

SG	No. 187

# 10
First-principles (PBE) data for crystalline Tm3SI7 at its relaxed geometry, as listed in Alexandria.

Cell: 7.685 8.509 8.509 Å, 120.00 90.00 90.00°
Sites, in units of the cell vectors:
S 0.610 0.333 0.667
I 0.004 0.667 0.333
I 0.554 0.831 0.169
I 0.010 0.666 0.833
I 0.554 0.338 0.169
I 0.010 0.167 0.334
I 0.010 0.167 0.833
I 0.554 0.831 0.662
Tm 0.770 0.490 0.979
Tm 0.770 0.021 0.510
Tm 0.770 0.490 0.510

SG	No. 156

# 11
First-principles (PBE) data for crystalline Tm2SI2 at its relaxed geometry, as listed in Alexandria.

Cell: 4.028 4.028 11.723 Å, 81.34 80.11 60.00°
Sites, in units of the cell vectors:
Tm 0.289 0.804 0.618
Tm 0.711 0.196 0.382
S 0.000 0.500 0.500
I 0.443 0.907 0.206
I 0.557 0.093 0.794

SG	No. 12

# 12
First-principles (PBE) data for crystalline Tm2S2I at its relaxed geometry, as listed in Alexandria.

Cell: 4.138 5.319 7.292 Å, 111.39 106.48 90.00°
Sites, in units of the cell vectors:
S 0.318 0.318 0.636
S 0.682 0.682 0.364
Tm 0.692 0.192 0.383
Tm 0.308 0.808 0.617
I 0.000 0.000 0.000

SG	No. 71

Computed values of ΔE_f (raw) (unit: kJ/mol of atoms) for the preceding records, in sequence: 47, 11, -2, -38, -32, -84, -115, -133, -135, -141, -149, -166.
Computed values of final energy (unit: eV/atom) for the preceding records, in sequence: -1.74, -2.29, -3.42, -2.77, -2.94, -4.78, -4.76, -4.76, -4.78, -4.05, -4.78, -5.47.